Material: Cs2LiCrO4
Method: DFT, PBE+U
State: optimized geometry

a b c (Å): 4.973 6.725 11.039
angles (deg): 85.22 76.98 68.30
Atoms (fractional coordinates):
Cs (0.173, 0.000, 0.655)
Cs (0.827, 0.000, 0.345)
Cs (0.577, 0.500, 0.845)
Cs (0.923, 0.500, 0.155)
Li (0.750, 0.500, 0.500)
Li (0.000, 0.000, 0.000)
Cr (0.250, 0.500, 0.500)
Cr (0.500, 0.000, 0.000)
O (0.322, 0.838, 0.084)
O (0.244, 0.162, 0.916)
O (0.840, 0.838, 0.916)
O (0.594, 0.162, 0.084)
O (0.428, 0.662, 0.416)
O (0.506, 0.338, 0.584)
O (0.910, 0.662, 0.584)
O (0.156, 0.338, 0.416)

The value obtained for the energy is -5.5474 eV/atom. For the calculated volume, the calculation gives 20.888 Å³ per atom. As for the symmetry: Fddd (70).